AlReP2: optimized geometry, GGA-PBEsol.

Summary:
SG	Amm2
mass density	7.77	Mg/m³
magnetic moment	0.000	μB per atom
formation energy from the elements	-176.5	meV/atom
final energy	-7.428	eV per atom
N(E_F)	1.32	states/eV/f.u.

Cell: 4.4273 3.2248 8.2335 Å, 90.00 90.00 90.00°
Closest atoms and distances in Å follow each position.
Fractional positions:
1 Al 0.0000 0.0000 0.0000  3 P 2.32-2.42
2 Al 0.0000 0.5000 0.5000  3 P 2.32-2.42
3 Re 0.5000 0.0000 0.5917  5 P 2.35-2.45
4 Re 0.5000 0.5000 0.0917  5 P 2.35-2.45
5 P 0.0000 0.0000 0.7187  3 Al 2.32-2.42, 2 Re 2.45
6 P 0.0000 0.5000 0.2187  3 Al 2.32-2.42, 2 Re 2.45
7 P 0.5000 0.0000 0.3060  3 Re 2.35-2.39
8 P 0.5000 0.5000 0.8060  3 Re 2.35-2.39